A relaxed PmCdSi4 crystal, computed with PBE.

Lattice parameters (Å, degrees): 5.373 5.373 5.373 60.00 60.00 60.00
Positions (direct):
Pm  0.000  0.000  0.000
Cd  0.750  0.750  0.750
Si  0.376  0.376  0.376
Si  0.376  0.376  0.871
Si  0.376  0.871  0.376
Si  0.871  0.376  0.376

Values from the calculation:
Magnetic moment: 0.00 μB per cell
Total DFT energy (no corrections): -4.653 eV per atom

A relaxed PmCdSi crystal, computed with PBE.

Lattice parameters (Å, degrees): 6.685 6.685 6.685 90.00 90.00 90.00
Positions (direct):
Pm  0.000  0.000  0.000
Pm  0.000  0.500  0.500
Pm  0.500  0.000  0.500
Pm  0.500  0.500  0.000
Cd  0.000  0.000  0.500
Cd  0.000  0.500  0.000
Cd  0.500  0.000  0.000
Cd  0.500  0.500  0.500
Si  0.250  0.250  0.250
Si  0.250  0.750  0.750
Si  0.750  0.250  0.750
Si  0.750  0.750  0.250

Values from the calculation:
Magnetic moment: 0.00 μB per cell
Energy above the lowest structure with this stoichiometry: 0.52 eV/f.u.
Total DFT energy (no corrections): -4.022 eV per atom

Please write out number 1 again, unchanged.
A relaxed PmCdSi4 crystal, computed with PBE.

Lattice parameters (Å, degrees): 5.373 5.373 5.373 60.00 60.00 60.00
Positions (direct):
Pm  0.000  0.000  0.000
Cd  0.750  0.750  0.750
Si  0.376  0.376  0.376
Si  0.376  0.376  0.871
Si  0.376  0.871  0.376
Si  0.871  0.376  0.376

Values from the calculation:
Magnetic moment: 0.00 μB per cell
Total DFT energy (no corrections): -4.653 eV per atom

> magnetic moment of number 1 (PmCdSi4)?

0.00 μB per cell